# 1
TaCu4Sb: optimized geometry, GGA-PBE.

The structure in extended XYZ format:
```
6
Lattice="2.536 -4.279 -0.503 -1.317 -4.016 2.672 -2.130 -3.918 -2.261" Properties=species:S:1:pos:R:3 pbc="T T T"
Cu -1.004 -6.591 1.309
Ta 0.000 0.000 0.000
Cu 0.935 -6.723 -0.288
Cu -1.413 -6.541 -1.172
Cu -0.341 -4.571 -0.035
Sb -0.684 -9.160 -0.069
```

Values from the calculation:
The space-group type is F-43m. The value obtained for the volume is 14.730 A^3/atom. For the electronic total energy, the calculation gives -5.148 eV/atom. The calculation puts the total magnetization at 0.00 μB/f.u.



# 2
PaTcP2: optimized geometry, GGA-PBE.

The structure in extended XYZ format:
```
4
Lattice="3.869 0.000 0.001 -0.002 3.868 -0.008 -1.942 -1.937 4.938" Properties=species:S:1:pos:R:3 pbc="T T T"
Pa 0.410 2.968 1.120
Tc 0.414 1.022 3.591
P 2.348 1.043 2.301
P 0.400 -0.909 4.886
```

Values from the calculation:
The space-group type is C2. The value obtained for the energy above the most stable polymorph in this dataset is 0.0000 eV per atom. The value obtained for the volume is 18.463 A^3/atom. For the electronic total energy, the calculation gives -8.360 eV/atom. Its energy relative to the elements is -66.5 kJ per mole of atoms. The calculation puts the total magnetization at 0.00 μB/f.u.



# 3
YPu2Tl: optimized geometry, GGA-PBE.

The structure in extended XYZ format:
```
4
Lattice="5.242 0.000 0.000 0.000 4.540 0.000 0.000 0.000 4.540" Properties=species:S:1:pos:R:3 pbc="T T T"
Pu 0.000 2.270 0.000
Pu 0.000 0.000 2.270
Y 2.621 0.000 0.000
Tl 2.621 2.270 2.270
```

Values from the calculation:
The space-group type is P4/mmm. The value obtained for the volume is 27.009 A^3/atom. For the electronic total energy, the calculation gives -9.417 eV/atom. Its energy relative to the elements is -4.2 kJ per mole of atoms. The calculation puts the total magnetization at 12.05 μB/f.u.



# 4
In2FeTe: optimized geometry, GGA-PBE.

The structure in extended XYZ format:
```
4
Lattice="-2.888 1.914 -0.189 -0.347 -0.110 4.196 3.370 5.337 2.562" Properties=species:S:1:pos:R:3 pbc="T T T"
In -0.737 2.216 1.857
Te 1.518 2.702 4.181
In 2.715 4.732 6.449
Fe 1.172 5.329 4.220
```

Values from the calculation:
The space-group type is Pm. The value obtained for the volume is 23.630 A^3/atom. For the electronic total energy, the calculation gives -4.132 eV/atom. The calculation puts the total magnetization at 2.00 μB/f.u.



# 5
MgTiHg2: optimized geometry, GGA-PBE.

The structure in extended XYZ format:
```
4
Lattice="3.180 0.000 0.000 0.000 3.180 0.000 0.000 0.000 7.777" Properties=species:S:1:pos:R:3 pbc="T T T"
Mg 1.590 1.590 0.000
Hg 0.000 0.000 1.986
Ti 1.590 1.590 3.888
Hg 0.000 0.000 5.791
```

Values from the calculation:
The space-group type is P4/mmm. The value obtained for the volume is 19.665 A^3/atom. For the electronic total energy, the calculation gives -2.625 eV/atom. Its energy relative to the elements is -9.8 kJ per mole of atoms. The calculation puts the total magnetization at 0.01 μB/f.u.



# 6
Sm2Mg3Al: optimized geometry, GGA-PBE.

The structure in extended XYZ format:
```
12
Lattice="-4.468 -3.373 2.527 3.880 -3.434 -3.300 5.265 2.164 7.520" Properties=species:S:1:pos:R:3 pbc="T T T"
Sm -0.148 -1.710 -0.194
Mg 2.986 -4.222 4.321
Sm 0.251 -2.306 4.830
Mg 2.587 -3.628 -0.607
Mg 2.088 -1.015 7.354
Mg -1.497 -3.598 2.244
Sm -0.441 -5.097 -0.579
Mg 1.690 -0.422 2.426
Sm 4.425 -2.337 1.917
Al 3.324 -0.829 4.770
Al 1.352 -3.814 1.977
Mg 6.173 -1.045 4.503
```

Values from the calculation:
The space-group type is Fmmm. The value obtained for the volume is 25.616 A^3/atom. For the electronic total energy, the calculation gives -3.151 eV/atom. Its energy relative to the elements is -15.1 kJ per mole of atoms. The calculation puts the total magnetization at 0.00 μB/f.u.



# 7
BaLaBi3: optimized geometry, GGA-PBE.

The structure in extended XYZ format:
```
5
Lattice="-2.349 5.218 2.227 -4.363 -0.121 -4.319 -3.626 -3.235 3.754" Properties=species:S:1:pos:R:3 pbc="T T T"
Bi -2.182 -0.061 -2.160
La 0.000 0.000 0.000
Bi -1.813 -1.617 1.877
Ba -5.169 0.931 0.831
Bi -1.175 2.609 1.113
```

Values from the calculation:
The space-group type is Pm-3m. The value obtained for the energy above the most stable polymorph in this dataset is 0.0000 eV per atom. The value obtained for the volume is 46.310 A^3/atom. For the electronic total energy, the calculation gives -3.959 eV/atom. Its energy relative to the elements is -25.1 kJ per mole of atoms. The calculation puts the total magnetization at 0.00 μB/f.u.



# 8
BaAc2La: optimized geometry, GGA-PBE.

The structure in extended XYZ format:
```
4
Lattice="-0.894 -2.368 -5.874 4.071 -4.335 -2.354 -1.873 -6.069 -0.750" Properties=species:S:1:pos:R:3 pbc="T T T"
Ba 0.652 -6.386 -4.489
Ac 0.326 -3.193 -2.245
La 0.000 0.000 0.000
Ac 0.978 -9.579 -6.734
```

Values from the calculation:
The space-group type is Fm-3m. The value obtained for the energy above the most stable polymorph in this dataset is 0.1444 eV per atom. The value obtained for the volume is 46.246 A^3/atom. For the electronic total energy, the calculation gives -3.572 eV/atom. Its energy relative to the elements is 18.8 kJ per mole of atoms. The calculation puts the total magnetization at 1.44 μB/f.u.